# SrRu2Se (PBE, relaxed)
# Uncorrected formation energy (eV/atom): 0.509
# Crystal system: monoclinic
data_SrRu2Se
_space_group_name_H-M_alt 'C 1 2/m 1'
_space_group_IT_number 12
_cell_length_a 5.7539
_cell_length_b 10.2073
_cell_length_c 3.0703
_cell_angle_alpha 90.00
_cell_angle_beta 121.85
_cell_angle_gamma 90.00
loop_
_space_group_symop_operation_xyz
'x,y,z'
'-x,-y,-z'
'-x,y,-z'
'x,-y,z'
'x+1/2,y+1/2,z'
'-x+1/2,-y+1/2,-z'
'-x+1/2,y+1/2,-z'
'x+1/2,-y+1/2,z'
loop_
_atom_site_label
_atom_site_fract_x
_atom_site_fract_y
_atom_site_fract_z
Sr1 0.0000 0.0000 0.0000
Ru1 0.2500 0.2500 0.5000
Se1 0.0000 0.5000 0.0000

# La3DyY6Th2 (PBE, relaxed)
# ΔE_f (eV/atom): 0.0177
# Crystal system: monoclinic
data_La3DyY6Th2
_space_group_name_H-M_alt 'C 1 2/m 1'
_space_group_IT_number 12
_cell_length_a 6.2617
_cell_length_b 10.8433
_cell_length_c 11.9012
_cell_angle_alpha 90.00
_cell_angle_beta 100.12
_cell_angle_gamma 90.00
loop_
_space_group_symop_operation_xyz
'x,y,z'
'-x,-y,-z'
'-x,y,-z'
'x,-y,z'
'x+1/2,y+1/2,z'
'-x+1/2,-y+1/2,-z'
'-x+1/2,y+1/2,-z'
'x+1/2,-y+1/2,z'
loop_
_atom_site_label
_atom_site_fract_x
_atom_site_fract_y
_atom_site_fract_z
La1 0.0000 0.0000 0.0000
La2 0.0000 0.3341 0.0000
Dy1 0.0000 0.5000 0.5000
Y1 0.2438 0.0000 0.7431
Y2 0.2505 0.1686 0.2571
Th1 0.0000 0.1666 0.5000

# Na2MgH6Os (PBE, relaxed)
# Calculated total energy (Ha/atom): -0.138
# Crystal system: cubic
data_Na2MgH6Os
_space_group_name_H-M_alt 'F m -3 m'
_space_group_IT_number 225
_space_group_name_Hall '-F 4 2 3'
_cell_length_a 7.2872
_cell_length_b 7.2872
_cell_length_c 7.2872
_cell_angle_alpha 90.00
_cell_angle_beta 90.00
_cell_angle_gamma 90.00
loop_
_atom_site_label
_atom_site_fract_x
_atom_site_fract_y
_atom_site_fract_z
Na1 0.2500 0.2500 0.2500
Mg1 0.0000 0.0000 0.0000
H1 0.0000 0.0000 0.2639
Os1 0.0000 0.0000 0.5000

# H16PdC4S4N8Cl2 (PBE, relaxed)
# Excess energy over the best structure of this formula in the dataset (eV/atom): 0.000
# Crystal system: monoclinic
data_H16PdC4S4N8Cl2
_space_group_name_H-M_alt 'C 1 2/c 1'
_space_group_IT_number 15
_cell_length_a 19.0582
_cell_length_b 11.2263
_cell_length_c 9.1397
_cell_angle_alpha 90.00
_cell_angle_beta 98.50
_cell_angle_gamma 90.00
loop_
_space_group_symop_operation_xyz
'x,y,z'
'-x,-y,-z'
'-x,y,-z+1/2'
'x,-y,z+1/2'
'x+1/2,y+1/2,z'
'-x+1/2,-y+1/2,-z'
'-x+1/2,y+1/2,-z+1/2'
'x+1/2,-y+1/2,z+1/2'
loop_
_atom_site_label
_atom_site_fract_x
_atom_site_fract_y
_atom_site_fract_z
H1 0.0569 0.1579 0.4650
H2 0.0840 0.2330 0.3129
H3 0.1191 0.4939 0.9980
H4 0.1242 0.4211 0.3361
H5 0.1511 0.2075 0.8278
H6 0.1815 0.1255 0.1699
H7 0.2383 0.1495 0.8434
H8 0.2466 0.4582 0.7435
Pd1 0.0000 0.1839 0.7500
C1 0.0857 0.3317 0.5010
C2 0.1576 0.0427 0.7405
S1 0.0678 0.0242 0.6763
S2 0.0677 0.3451 0.6809
N1 0.0719 0.2343 0.4183
N2 0.1140 0.4261 0.4431
N3 0.1840 0.1379 0.8151
N4 0.2011 0.0461 0.2140
Cl1 0.1490 0.3221 0.1230

Number 1: total magnetic moment 3.6 Bohr magnetons per cell. Number 2: total magnetic moment 0.0 Bohr magnetons per cell. Number 3: total magnetic moment 0.0 Bohr magnetons per cell. Number 4: total magnetic moment 0.0 Bohr magnetons per cell.